# 1
## RbGe2Bi (GGA-PBE)

Data for a geometry-optimized RbGe2Bi structure.

Cell: 8.6075 8.6075 7.1483 Å, 90.00 90.00 90.00°
With the nearest neighbours (Å) after each atom.
Space group I-42d (No. 122)
Asymmetric unit:
Rb 0.0000 0.0000 0.0000 (multiplicity 4)  8 Ge 3.51-3.82, 2 Bi 3.57
Ge 0.1942 0.2500 0.6250 (multiplicity 8)  2 Bi 2.87
Bi 0.0000 0.0000 0.5000 (multiplicity 4)  4 Ge 2.87

Summary:
The total energy comes out at -3.302 eV/atom. For the total magnetic moment, the calculation gives 0.000 μB/atom. The formation energy is 0.22 eV per atom. For the volume, the calculation gives 33.10 A^3/atom. The density of states at the Fermi level is 0.805 states/eV/cell.

***

# 2
## Rb2GeBi (GGA-PBE)

Data for a geometry-optimized Rb2GeBi structure.

Cell: 12.0509 6.7281 10.5271 Å, 90.00 115.11 90.00°
With the nearest neighbours (Å) after each atom.
Space group P2_1/c (No. 14)
Asymmetric unit:
Rb 0.1848 0.2412 0.0959 (multiplicity 4)  2 Ge 3.71-3.75, 1 Bi 3.73, 2 Rb 3.92-3.94
Rb 0.2509 0.6704 0.3709 (multiplicity 4)  2 Ge 3.53-3.91, 2 Bi 3.62-3.63, 2 Rb 3.92-3.94
Ge 0.4138 0.1230 0.4613 (multiplicity 4)  1 Ge 2.51
Bi 0.4741 0.7336 0.7318 (multiplicity 4)  2 Ge 3.02-3.04

Summary:
The total energy comes out at -2.678 eV/atom. For the total magnetic moment, the calculation gives 0.000 μB/atom. The formation energy is -0.07 eV per atom. For the volume, the calculation gives 48.30 A^3/atom. For the polymorph energy (0 for the lowest one), the calculation gives 0 meV per atom. The density of states at the Fermi level is 7.997 states/eV/cell.

***

# 3
## Rb3GeBi (GGA-PBE)

Data for a geometry-optimized Rb3GeBi structure.

Cell: 6.7275 6.7275 6.7275 Å, 90.00 90.00 90.00°
With the nearest neighbours (Å) after each atom.
Space group Pm-3m (No. 221)
Asymmetric unit:
Rb 0.0000 0.0000 0.5000 (multiplicity 3)  2 Ge 3.36
Ge 0.0000 0.0000 0.0000 (multiplicity 1)  6 Rb 3.36
Bi 0.5000 0.5000 0.5000 (multiplicity 1)  12 Rb 4.76

Summary:
The total energy comes out at -1.969 eV/atom. For the total magnetic moment, the calculation gives 0.800 μB/atom. The formation energy is 0.31 eV per atom. For the volume, the calculation gives 60.90 A^3/atom. For the polymorph energy (0 for the lowest one), the calculation gives 495 meV per atom. The density of states at the Fermi level is 2.488 states/eV/cell.